This record from the Alexandria database describes a geometry-optimized Ni7SnGe2 structure. The functional is PBE-GGA.

Geometry as CIF:
```
data_Ni7SnGe2
_chemical_formula_sum 'Ni14 Sn2 Ge4'
_symmetry_space_group_name_H-M 'I 4/m m m'
_symmetry_Int_Tables_number 139
_symmetry_space_group_name_Hall '-I 4 2'
_cell_length_a 3.781
_cell_length_b 3.781
_cell_length_c 18.683
_cell_angle_alpha 90.00
_cell_angle_beta 90.00
_cell_angle_gamma 90.00
loop_
_atom_site_label
_atom_site_type_symbol
_atom_site_fract_x
_atom_site_fract_y
_atom_site_fract_z
_atom_site_occupancy
Ni1 Ni 0.000 0.000 0.000 1
Ni2 Ni 0.000 0.500 0.098 1
Ni3 Ni 0.000 0.500 0.250 1
Sn1 Sn 0.000 0.000 0.500 1
Ge1 Ge 0.000 0.000 0.173 1
```

energy of formation from the pure elements	-0.1850	eV/atom
total DFT energy (no corrections)	-5.556	eV/atom



This record from the Alexandria database describes a geometry-optimized CuPtSe2 structure. The functional is PBE-GGA.

Geometry as CIF:
```
data_CuPtSe2
_chemical_formula_sum 'Cu2 Pt2 Se4'
_symmetry_space_group_name_H-M 'I 4/m m m'
_symmetry_Int_Tables_number 139
_symmetry_space_group_name_Hall '-I 4 2'
_cell_length_a 5.145
_cell_length_b 5.145
_cell_length_c 5.489
_cell_angle_alpha 90.00
_cell_angle_beta 90.00
_cell_angle_gamma 90.00
loop_
_atom_site_label
_atom_site_type_symbol
_atom_site_fract_x
_atom_site_fract_y
_atom_site_fract_z
_atom_site_occupancy
Cu1 Cu 0.000 0.000 0.000 1
Pt1 Pt 0.000 0.000 0.500 1
Se1 Se 0.000 0.500 0.000 1
```

total DFT energy (no corrections)	-4.206	eV/atom



This record from the Alexandria database describes a geometry-optimized RbBC2N2 structure. The functional is PBE-GGA.

Geometry as CIF:
```
data_RbBC2N2
_chemical_formula_sum 'Rb8 B8 C16 N16'
_symmetry_space_group_name_H-M 'I 41/a'
_symmetry_Int_Tables_number 88
_cell_length_a 8.876
_cell_length_b 8.876
_cell_length_c 14.664
_cell_angle_alpha 90.00
_cell_angle_beta 90.00
_cell_angle_gamma 90.00
loop_
_symmetry_equiv_pos_as_xyz
'x,y,z'
'-x,-y,-z'
'-y+3/4,x+1/4,z+1/4'
'y+3/4,-x+1/4,-z+1/4'
'-x+1/2,-y,z+1/2'
'x+1/2,y,-z+1/2'
'y+3/4,-x+3/4,z+3/4'
'-y+3/4,x+3/4,-z+3/4'
'x+1/2,y+1/2,z+1/2'
'-x+1/2,-y+1/2,-z+1/2'
'-y+1/4,x+3/4,z+3/4'
'y+1/4,-x+3/4,-z+3/4'
'-x,-y+1/2,z'
'x,y+1/2,-z'
'y+1/4,-x+1/4,z+1/4'
'-y+1/4,x+1/4,-z+1/4'
loop_
_atom_site_label
_atom_site_type_symbol
_atom_site_fract_x
_atom_site_fract_y
_atom_site_fract_z
_atom_site_occupancy
Rb1 Rb 0.000 0.000 0.000 1
B1 B 0.000 0.000 0.500 1
C1 C 0.125 0.408 0.471 1
N1 N 0.083 0.021 0.803 1
```

total DFT energy (no corrections)	-6.877	eV/atom